! Zr2Si2Ru | Alexandria | GGA-PBE | relaxed; values from VASP
&SYSTEM
  ibrav = 0, nat = 5, ntyp = 3
/
ATOMIC_SPECIES
Si 28.09 Si.upf
Zr 91.22 Zr.upf
Ru 101.07 Ru.upf
CELL_PARAMETERS angstrom
3.847 0.000 0.000
1.923 4.890 0.512
1.923 1.572 4.658
ATOMIC_POSITIONS crystal
Si 0.500 0.272 0.728
Si 0.500 0.728 0.272
Zr 0.207 0.293 0.293
Zr 0.793 0.707 0.707
Ru 0.000 0.000 0.000
! - Formation energy without anion corrections: -0.907 eV/atom
! - Size of the total moment: 0.0 μB/cell
! - V: 16.905 Å³ per atom
! - Calculated total energy: -41.75 eV for the cell shown

! Zr2SiRu2 | Alexandria | GGA-PBE | relaxed; values from VASP
&SYSTEM
  ibrav = 0, nat = 10, ntyp = 3
/
ATOMIC_SPECIES
Ru 101.07 Ru.upf
Zr 91.22 Zr.upf
Si 28.09 Si.upf
CELL_PARAMETERS angstrom
7.606 0.000 0.000
0.000 7.606 0.000
0.000 0.000 3.189
ATOMIC_POSITIONS crystal
Ru 0.859 0.359 0.500
Ru 0.141 0.641 0.500
Ru 0.641 0.859 0.500
Ru 0.359 0.141 0.500
Zr 0.657 0.157 0.000
Zr 0.343 0.843 0.000
Zr 0.157 0.343 0.000
Zr 0.843 0.657 0.000
Si 0.500 0.500 0.000
Si 0.000 0.000 0.000
! - Formation energy without anion corrections: 0.020 eV/atom
! - Size of the total moment: 0.0 μB/cell
! - Offset from the most stable computed form: 529.9 meV/atom
! - V: 18.448 Å³ per atom
! - Calculated total energy: -81.94 eV for the cell shown

! Zr2Si2Ru | Alexandria | GGA-PBE | relaxed; values from VASP
&SYSTEM
  ibrav = 0, nat = 10, ntyp = 3
/
ATOMIC_SPECIES
Si 28.09 Si.upf
Ru 101.07 Ru.upf
Zr 91.22 Zr.upf
CELL_PARAMETERS angstrom
6.367 0.000 0.000
0.000 6.367 0.000
0.000 0.000 4.153
ATOMIC_POSITIONS crystal
Si 0.864 0.636 0.000
Si 0.136 0.364 0.000
Si 0.364 0.864 0.000
Si 0.636 0.136 0.000
Ru 0.000 0.000 0.000
Ru 0.500 0.500 0.000
Zr 0.673 0.827 0.500
Zr 0.173 0.673 0.500
Zr 0.327 0.173 0.500
Zr 0.827 0.327 0.500
! - Formation energy without anion corrections: -0.911 eV/atom
! - Size of the total moment: 0.0 μB/cell
! - V: 16.839 Å³ per atom
! - Calculated total energy: -83.55 eV for the cell shown

! ZrSi3Ru | Alexandria | GGA-PBE | relaxed; values from VASP
&SYSTEM
  ibrav = 0, nat = 5, ntyp = 3
/
ATOMIC_SPECIES
Si 28.09 Si.upf
Zr 91.22 Zr.upf
Ru 101.07 Ru.upf
CELL_PARAMETERS angstrom
-3.895 1.449 2.684
2.139 -1.806 4.079
2.175 4.372 0.795
ATOMIC_POSITIONS crystal
Si 0.000 0.000 0.500
Si 0.000 0.500 0.000
Si 0.500 0.000 0.000
Zr 0.000 0.000 0.000
Ru 0.500 0.500 0.500
! - Formation energy without anion corrections: 1.479 eV/atom
! - Size of the total moment: 2.6 μB/cell
! - Offset from the most stable computed form: 1016.6 meV/atom
! - V: 24.218 Å³ per atom
! - Calculated total energy: -26.70 eV for the cell shown

! ZrSi4Ru | Alexandria | GGA-PBE | relaxed; values from VASP
&SYSTEM
  ibrav = 0, nat = 6, ntyp = 3
/
ATOMIC_SPECIES
Zr 91.22 Zr.upf
Si 28.09 Si.upf
Ru 101.07 Ru.upf
CELL_PARAMETERS angstrom
-0.698 -2.040 4.481
-3.174 2.082 3.213
-4.302 -2.258 1.062
ATOMIC_POSITIONS crystal
Zr 0.750 0.750 0.750
Si 0.374 0.877 0.374
Si 0.374 0.374 0.374
Si 0.877 0.374 0.374
Si 0.374 0.374 0.877
Ru 0.000 0.000 0.000
! - Formation energy without anion corrections: 0.061 eV/atom
! - Size of the total moment: 0.0 μB/cell
! - V: 14.494 Å³ per atom
! - Calculated total energy: -39.15 eV for the cell shown

! ZrSi2Ru | Alexandria | GGA-PBE | relaxed; values from VASP
&SYSTEM
  ibrav = 0, nat = 4, ntyp = 3
/
ATOMIC_SPECIES
Si 28.09 Si.upf
Zr 91.22 Zr.upf
Ru 101.07 Ru.upf
CELL_PARAMETERS angstrom
5.024 -0.002 0.000
2.110 4.560 0.000
-3.567 -2.279 2.707
ATOMIC_POSITIONS crystal
Si 0.250 0.750 0.500
Si 0.000 0.000 0.000
Zr 0.500 0.500 0.000
Ru 0.750 0.250 0.500
! - Formation energy without anion corrections: -0.384 eV/atom
! - Size of the total moment: 0.0 μB/cell
! - V: 15.506 Å³ per atom
! - Calculated total energy: -30.21 eV for the cell shown

! ZrSi2Ru | Alexandria | GGA-PBE | relaxed; values from VASP
&SYSTEM
  ibrav = 0, nat = 4, ntyp = 3
/
ATOMIC_SPECIES
Ru 101.07 Ru.upf
Si 28.09 Si.upf
Zr 91.22 Zr.upf
CELL_PARAMETERS angstrom
-1.054 2.951 0.113
-4.375 -1.544 -0.481
-3.282 -1.325 4.002
ATOMIC_POSITIONS crystal
Ru 0.000 0.000 0.500
Si 0.000 0.000 0.000
Si 0.500 0.500 0.000
Zr 0.500 0.500 0.500
! - Formation energy without anion corrections: -0.259 eV/atom
! - Size of the total moment: 0.0 μB/cell
! - V: 15.899 Å³ per atom
! - Calculated total energy: -29.71 eV for the cell shown

! ZrSi2Ru | Alexandria | GGA-PBE | relaxed; values from VASP
&SYSTEM
  ibrav = 0, nat = 4, ntyp = 3
/
ATOMIC_SPECIES
Si 28.09 Si.upf
Zr 91.22 Zr.upf
Ru 101.07 Ru.upf
CELL_PARAMETERS angstrom
-3.744 0.053 -1.669
-0.663 -2.705 1.402
-1.765 2.498 4.039
ATOMIC_POSITIONS crystal
Si 0.000 0.754 0.002
Si 0.000 0.746 0.498
Zr 0.500 0.250 0.250
Ru 0.500 0.750 0.750
! - Formation energy without anion corrections: -0.556 eV/atom
! - Size of the total moment: 0.0 μB/cell
! - V: 16.187 Å³ per atom
! - Calculated total energy: -30.89 eV for the cell shown

- Among the records above, which one has the highest V?
  ZrSi3Ru